Here is a relaxed structure of Y2ReP from Alexandria. Energies are from PBE.

a b c (Å): 4.7627 4.7627 4.7627
angles (deg): 60.00 60.00 60.00
Last column: nearest neighbours and their distance in Å.
Element x y z (fractional)
Y  0.0000  0.0000  0.0000  4 Y 2.92, 4 Re 2.92
Y  0.7500  0.7500  0.7500  4 Y 2.92, 4 P 2.92
Re  0.2500  0.2500  0.2500  4 P 2.92, 4 Y 2.92
P  0.5000  0.5000  0.5000  4 Re 2.92, 4 Y 2.92

Values from the calculation:
crystal system = cubic
DFT formation energy = 147 meV per atom

Here is a relaxed structure of V3RuW from Alexandria. Energies are from PBE.

a b c (Å): 4.4599 4.4599 4.4599
angles (deg): 90.00 90.00 90.00
Last column: nearest neighbours and their distance in Å.
Element x y z (fractional)
Ru  0.0000  0.0000  0.0000  6 V 2.23
W  0.5000  0.5000  0.5000  12 V 3.15
V  0.0000  0.5000  0.0000  2 Ru 2.23
V  0.0000  0.0000  0.5000  2 Ru 2.23
V  0.5000  0.0000  0.0000  2 Ru 2.23

Values from the calculation:
relative energy among the computed polymorphs = 1231 meV/atom
crystal system = cubic
DFT formation energy = 1347 meV per atom

Here is a relaxed structure of LuNiPtAu from Alexandria. Energies are from PBE.

a b c (Å): 4.5934 4.5934 4.5934
angles (deg): 60.00 60.00 60.00
Last column: nearest neighbours and their distance in Å.
Element x y z (fractional)
Ni  0.2500  0.2500  0.2500  4 Lu 2.81, 4 Au 2.81
Lu  0.0000  0.0000  0.0000  4 Pt 2.81, 4 Ni 2.81
Au  0.5000  0.5000  0.5000  4 Ni 2.81, 4 Pt 2.81
Pt  0.7500  0.7500  0.7500  4 Au 2.81, 4 Lu 2.81

Values from the calculation:
crystal system = cubic
DFT formation energy = -596 meV per atom

Calculated total energy per entry: -7.5498 -8.5702 -5.5013 eV per atom